Material: NpNb2Sn
Method: DFT, PBE
State: relaxed

abc: 3.021 3.021 10.590
angles: 81.80 81.80 60.00
Positions (direct):
1 Sn 0.500 0.500 0.500
2 Nb 0.755 0.755 0.736
3 Np 0.000 0.000 0.000
4 Nb 0.245 0.245 0.264

Values from the calculation:
magnetic moment	3.57	μB/f.u.
calculated formation energy	0.376	eV per atom
E_tot	-8.895	eV per atom

Material: NpTiNbSn
Method: DFT, PBE
State: relaxed

abc: 4.900 4.900 4.900
angles: 60.00 60.00 60.00
Positions (direct):
1 Np 0.750 0.750 0.750
2 Ti 0.250 0.250 0.250
3 Nb 0.000 0.000 0.000
4 Sn 0.500 0.500 0.500

Values from the calculation:
magnetic moment	3.35	μB/f.u.
calculated formation energy	0.233	eV per atom
E_tot	-8.494	eV per atom

Material: NpTa2Nb
Method: DFT, PBE
State: relaxed

abc: 2.885 2.885 10.877
angles: 82.38 82.38 60.00
Positions (direct):
1 Np 0.000 0.000 0.000
2 Ta 0.247 0.247 0.260
3 Nb 0.500 0.500 0.500
4 Ta 0.753 0.753 0.740

Values from the calculation:
magnetic moment	2.58	μB/f.u.
calculated formation energy	0.363	eV per atom
E_tot	-11.316	eV per atom

Material: NpTaNb2
Method: DFT, PBE
State: relaxed

abc: 2.877 2.877 10.981
angles: 82.47 82.47 60.00
Positions (direct):
1 Nb 0.254 0.254 0.239
2 Np 0.500 0.500 0.500
3 Ta 0.000 0.000 0.000
4 Nb 0.746 0.746 0.761

Values from the calculation:
magnetic moment	2.90	μB/f.u.
calculated formation energy	0.358	eV per atom
E_tot	-10.875	eV per atom

Material: NpTaNb2
Method: DFT, PBE
State: relaxed

abc: 3.339 3.339 6.797
angles: 90.00 90.00 90.00
Positions (direct):
1 Ta 0.500 0.500 0.500
2 Nb 0.000 0.000 0.749
3 Np 0.500 0.500 0.000
4 Nb 0.000 0.000 0.251

Values from the calculation:
magnetic moment	2.85	μB/f.u.
calculated formation energy	0.255	eV per atom
E_tot	-10.978	eV per atom

Material: NpTa2Nb
Method: DFT, PBE
State: relaxed

abc: 4.764 4.764 4.764
angles: 60.00 60.00 60.00
Positions (direct):
1 Np 0.000 0.000 0.000
2 Ta 0.750 0.750 0.750
3 Ta 0.250 0.250 0.250
4 Nb 0.500 0.500 0.500

Values from the calculation:
magnetic moment	2.49	μB/f.u.
calculated formation energy	0.323	eV per atom
E_tot	-11.356	eV per atom

Material: NpTaNb2
Method: DFT, PBE
State: relaxed

abc: 3.257 4.849 4.849
angles: 90.00 90.00 90.00
Positions (direct):
1 Ta 0.500 0.000 0.000
2 Nb 0.000 0.000 0.500
3 Np 0.500 0.500 0.500
4 Nb 0.000 0.500 0.000

Values from the calculation:
magnetic moment	3.24	μB/f.u.
calculated formation energy	0.275	eV per atom
E_tot	-10.958	eV per atom

Material: NpTaNb2
Method: DFT, PBE
State: relaxed

abc: 4.768 4.768 4.768
angles: 60.00 60.00 60.00
Positions (direct):
1 Nb 0.750 0.750 0.750
2 Ta 0.500 0.500 0.500
3 Nb 0.250 0.250 0.250
4 Np 0.000 0.000 0.000

Values from the calculation:
magnetic moment	2.58	μB/f.u.
calculated formation energy	0.244	eV per atom
E_tot	-10.989	eV per atom

Material: NpTa2Nb
Method: DFT, PBE
State: relaxed

abc: 3.229 4.872 4.872
angles: 90.00 90.00 90.00
Positions (direct):
1 Ta 0.000 0.000 0.500
2 Np 0.500 0.500 0.500
3 Ta 0.000 0.500 0.000
4 Nb 0.500 0.000 0.000

Values from the calculation:
magnetic moment	3.18	μB/f.u.
calculated formation energy	0.337	eV per atom
E_tot	-11.342	eV per atom

Material: NpTa2Nb
Method: DFT, PBE
State: relaxed

abc: 3.310 3.310 7.011
angles: 90.00 90.00 90.00
Positions (direct):
1 Ta 0.000 0.000 0.738
2 Nb 0.500 0.500 0.500
3 Np 0.500 0.500 0.000
4 Ta 0.000 0.000 0.262

Values from the calculation:
magnetic moment	3.33	μB/f.u.
calculated formation energy	0.324	eV per atom
E_tot	-11.355	eV per atom